No. 1
VASP calculation (GGA-PBE) on a relaxed structure of IrN.

POSCAR file:
```
IrN
1.0
9.838 0.000 0.000
0.000 9.838 0.000
0.000 0.000 2.937
Ir N
8 8
direct
0.101 0.362 0.000 Ir
0.151 0.697 0.500 Ir
0.303 0.151 0.500 Ir
0.362 0.899 0.000 Ir
0.638 0.101 0.000 Ir
0.697 0.849 0.500 Ir
0.849 0.303 0.500 Ir
0.899 0.638 0.000 Ir
0.100 0.574 0.000 N
0.224 0.323 0.500 N
0.323 0.776 0.500 N
0.426 0.100 0.000 N
0.574 0.900 0.000 N
0.677 0.224 0.500 N
0.776 0.677 0.500 N
0.900 0.426 0.000 N
```

Values from the calculation:
crystal system	tetragonal
spin magnetization	0.0	μB per formula unit
E_form (uncorrected)	1.6	eV/f.u.

=====

No. 2
VASP calculation (GGA-PBE) on a relaxed structure of Ir4N.

POSCAR file:
```
Ir4N
1.0
4.077 0.000 0.000
0.000 4.077 0.000
0.000 0.000 4.077
Ir N
4 1
direct
0.000 0.000 0.000 Ir
0.000 0.500 0.500 Ir
0.500 0.000 0.500 Ir
0.500 0.500 0.000 Ir
0.500 0.500 0.500 N
```

Values from the calculation:
crystal system	cubic
spin magnetization	0.0	μB per formula unit
E_form (uncorrected)	4.0	eV/f.u.

=====

No. 3
VASP calculation (GGA-PBE) on a relaxed structure of IrN.

POSCAR file:
```
IrN
1.0
5.052 0.000 0.000
0.000 5.302 0.000
0.000 0.000 7.202
Ir N
8 8
direct
0.173 0.036 0.250 Ir
0.180 0.491 0.590 Ir
0.320 0.509 0.090 Ir
0.327 0.964 0.750 Ir
0.673 0.464 0.750 Ir
0.680 0.009 0.410 Ir
0.820 0.991 0.910 Ir
0.827 0.536 0.250 Ir
0.193 0.870 0.991 N
0.195 0.660 0.326 N
0.305 0.340 0.826 N
0.307 0.130 0.491 N
0.693 0.630 0.009 N
0.695 0.840 0.674 N
0.805 0.160 0.174 N
0.807 0.370 0.509 N
```

Values from the calculation:
crystal system	orthorhombic
spin magnetization	0.0	μB per formula unit
E_form (uncorrected)	1.7	eV/f.u.